Here is an optimized crystal structure of SI2BrO from the Alexandria database. Energies are from PBE.

Properties
Formation energy (no corrections), meV/atom: 932
Crystal system: tetragonal
Fermi-level density of states, states/eV per atom: 0.84
Total magnetic moment, μB/f.u.: 2.47

Cell lengths 5.9376, 5.9376, 4.0016 Å; angles 90.00, 90.00, 90.00 degrees
Space group P4/mmm (No. 123)
One atom of each set of equivalent atoms:
S1 0.0000 0.0000 0.0000 [1 per cell]
I1 0.0000 0.5000 0.5000 [2 per cell]
Br1 0.5000 0.5000 0.5000 [1 per cell]
O1 0.5000 0.5000 0.0000 [1 per cell]



Here is an optimized crystal structure of SIBrO2 from the Alexandria database. Energies are from PBE.

Properties
Formation energy (no corrections), meV/atom: 447
Crystal system: tetragonal
Fermi-level density of states, states/eV per atom: 0.70
Total magnetic moment, μB/f.u.: 0.00

Cell lengths 3.8979, 3.8979, 7.5256 Å; angles 90.00, 90.00, 90.00 degrees
Space group P4/mmm (No. 123)
One atom of each set of equivalent atoms:
S1 0.0000 0.0000 0.0000 [1 per cell]
I1 0.0000 0.0000 0.5000 [1 per cell]
Br1 0.5000 0.5000 0.5000 [1 per cell]
O1 0.0000 0.5000 0.0000 [2 per cell]



Number 1: V 141.1 Å³ per cell. Number 2: V 114.3 Å³ per cell.